DFT (PBE) results for an optimized crystal structure of YFeRhSe2.

Unit cell a=4.5481 b=4.9904 c=4.5481 alpha=90.00 beta=90.00 gamma=90.00
Last column: magnetic moment on the atom in μB.
Element x y z (fractional)
Y: 0.0000 0.5000 0.0000  -0.10
Se: 0.5000 0.0000 0.0000  0.12
Se: 0.0000 0.0000 0.5000  0.07
Fe: 0.0000 0.0000 0.0000  1.33
Rh: 0.5000 0.5000 0.5000  0.11

Results
crystal system: tetragonal
VASP energy: -5.6420 eV per atom
DOS(E_F): 0.97 states/eV per atom